No. 1
TiNbAs: optimized geometry, PBE.

Structure (POSCAR):
```
TiNbAs
1.0
4.633 0.000 0.000
-2.317 4.012 0.000
0.000 0.000 2.774
Ti Nb As
1 1 1
Cartesian
0.000 0.000 0.000 Ti
0.000 2.675 1.430 Nb
2.317 1.337 1.766 As
```

## Properties
The calculation puts the density of states at the Fermi level at 1.03 states/eV/atom. The symmetry is No. 156. The formation energy is -0.15 eV per atom.

---

No. 2
NbPd3I: optimized geometry, PBE.

Structure (POSCAR):
```
NbPd3I
1.0
4.956 0.000 0.000
0.000 4.956 0.000
0.000 0.000 4.956
Nb Pd I
1 3 1
Cartesian
0.000 0.000 0.000 Nb
0.000 0.000 2.478 Pd
0.000 2.478 0.000 Pd
2.478 0.000 0.000 Pd
2.478 2.478 2.478 I
```

## Properties
As for the energy relative to the elements, uncorrected: 0.878 eV/atom. The calculation puts the density of states at the Fermi level at 1.10 states/eV/atom. The symmetry is No. 221.

---

Repeat the first record exactly.
TiNbAs: optimized geometry, PBE.

Structure (POSCAR):
```
TiNbAs
1.0
4.633 0.000 0.000
-2.317 4.012 0.000
0.000 0.000 2.774
Ti Nb As
1 1 1
Cartesian
0.000 0.000 0.000 Ti
0.000 2.675 1.430 Nb
2.317 1.337 1.766 As
```

## Properties
The calculation puts the density of states at the Fermi level at 1.03 states/eV/atom. The symmetry is No. 156. The formation energy is -0.15 eV per atom.